1.
DFT (GGA-PBE) results for a geometry-optimized Cs2NaYBr6 structure.

Results
Its formation energy without anion corrections is -1.83 eV per atom.

Unit cell a=8.1268 b=8.1207 c=11.5227 alpha=90.00 beta=89.98 gamma=90.00
Closest atoms and distances in Å follow each position.
Positions (direct):
Br 0.5362 0.0011 0.2575  1 Y 2.81, 1 Na 2.98
Br 0.7327 0.2824 0.9808  1 Y 2.81, 1 Na 2.98
Br 0.2327 0.2176 0.4808  1 Y 2.81, 1 Na 2.98
Br 0.7832 0.7682 0.9824  1 Y 2.81, 1 Na 2.98
Br 0.9638 0.5011 0.2425  1 Y 2.81, 1 Na 2.98
Cs 0.0036 0.9794 0.2502  8 Br 3.78-4.05
Cs 0.5036 0.5206 0.7502  8 Br 3.78-4.05
Br 0.7673 0.7824 0.5192  1 Y 2.81, 1 Na 2.98
Y 0.0000 0.5000 0.0000  6 Br 2.81
Y 0.5000 0.0000 0.5000  6 Br 2.81
Br 0.7168 0.2682 0.5177  1 Y 2.81, 1 Na 2.98
Br 0.2673 0.7176 0.0192  1 Y 2.81, 1 Na 2.98
Br 0.4638 0.9989 0.7425  1 Y 2.81, 1 Na 2.98
Br 0.0362 0.4989 0.7575  1 Y 2.81, 1 Na 2.98
Cs 0.4964 0.4794 0.2498  8 Br 3.78-4.05
Na 0.5000 0.0000 0.0000  6 Br 2.98
Na 0.0000 0.5000 0.5000  6 Br 2.98
Cs 0.9964 0.0206 0.7498  8 Br 3.78-4.05
Br 0.2168 0.2318 0.0176  1 Y 2.81, 1 Na 2.98
Br 0.2832 0.7318 0.4824  1 Y 2.81, 1 Na 2.98

2.
DFT (GGA-PBE) results for a geometry-optimized UOsC2 structure.

Results
As for the energy relative to the elements: 0.06 eV per atom.

Unit cell a=3.4506 b=3.4506 c=5.1052 alpha=70.25 beta=70.25 gamma=60.00
Closest atoms and distances in Å follow each position.
Positions (direct):
Os 0.0000 0.0000 0.0000  6 C 2.23
C 0.2628 0.2628 0.2116  3 Os 2.23, 3 U 2.41
U 0.5000 0.5000 0.5000  6 C 2.41
C 0.7372 0.7372 0.7884  3 Os 2.23, 3 U 2.41

| no. | D(E_F) (states/eV/f.u.) | size of the total moment (μB/f.u.) |
| --- | --- | --- |
| 1 | 0.00 | 0.0 |
| 2 | 1.43 | 0.0 |